Below is a geometry-optimized LaTaCl4 structure, with properties calculated at the PBE level.

The structure in extended XYZ format:
```
6
Lattice="0.000 4.160 4.160 4.160 0.000 4.160 4.160 4.160 0.000" Properties=species:S:1:pos:R:3 pbc="T T T"
Cl 5.199 5.199 3.121
Cl 3.121 5.199 5.199
Cl 5.199 3.121 5.199
Cl 3.121 3.121 3.121
Ta 0.000 0.000 0.000
La 6.240 6.240 6.240
```

Calculated values
symmetry: F-43m
formation energy (no corrections): 1.0 eV/f.u.

=====

Below is a geometry-optimized Fe2PW structure, with properties calculated at the PBE level.

The structure in extended XYZ format:
```
4
Lattice="-7.523 1.199 2.141 -7.871 0.648 -0.484 -7.683 -1.369 1.308" Properties=species:S:1:pos:R:3 pbc="T T T"
P -5.769 0.119 0.741
Fe -11.769 0.243 1.512
Fe -22.846 0.472 2.935
W -17.307 0.358 2.224
```

Calculated values
energy relative to the elements: 1.29 kcal/mol of atoms
symmetry: R-3m

=====

Below is a geometry-optimized PPd3C structure, with properties calculated at the PBE level.

The structure in extended XYZ format:
```
5
Lattice="-3.915 1.351 -0.280 -1.293 -3.887 -0.667 -0.479 -0.542 4.087" Properties=species:S:1:pos:R:3 pbc="T T T"
P -2.844 -1.539 1.570
C 0.000 0.000 0.000
Pd -1.957 0.675 -0.140
Pd -0.647 -1.944 -0.334
Pd -0.240 -0.271 2.044
```

Calculated values
energy relative to the elements: 8.99 kcal/mol of atoms
symmetry: Pm-3m

=====

Below is a geometry-optimized Er6Ni2Rh structure, with properties calculated at the PBE level.

The structure in extended XYZ format:
```
18
Lattice="6.346 0.000 0.116 0.000 7.043 0.000 -0.623 0.000 9.953" Properties=species:S:1:pos:R:3 pbc="T T T"
Er 1.689 3.878 7.469
Er 3.734 1.209 9.251
Er 0.549 0.357 7.519
Er 4.850 4.730 5.853
Er 4.767 4.819 9.316
Er 5.174 6.686 2.550
Er 1.989 5.834 0.818
Er 4.033 3.164 2.600
Er 0.956 2.224 0.753
Er 3.817 1.297 5.788
Er 1.905 5.745 4.281
Er 0.873 2.312 4.216
Ni 5.509 2.717 7.706
Ni 3.076 6.238 7.397
Ni 0.214 4.326 2.363
Ni 2.647 0.804 2.672
Rh 3.173 3.521 0.058
Rh -0.312 0.000 4.977
```

Calculated values
energy relative to the elements: -8.71 kcal/mol of atoms
symmetry: P2_1/c

=====

Below is a geometry-optimized CaZrCd structure, with properties calculated at the PBE level.

The structure in extended XYZ format:
```
6
Lattice="6.755 -0.017 0.002 2.501 7.814 0.039 -0.811 -1.148 3.001" Properties=species:S:1:pos:R:3 pbc="T T T"
Cd 6.286 6.617 2.231
Cd 3.444 5.819 2.969
Ca 6.320 0.816 1.821
Ca 1.719 4.954 0.338
Zr 5.028 3.968 0.849
Zr 3.012 1.803 1.310
```

Calculated values
energy relative to the elements: 0.77 kcal/mol of atoms
symmetry: P-1

=====

Below is a geometry-optimized Li2SnSe structure, with properties calculated at the PBE level.

The structure in extended XYZ format:
```
8
Lattice="7.565 0.000 0.000 0.000 7.565 0.000 3.783 3.783 3.012" Properties=species:S:1:pos:R:3 pbc="T T T"
Se 3.783 7.565 1.506
Se 3.783 3.783 0.000
Li 5.206 1.891 0.753
Li 2.359 5.674 0.753
Li 9.456 8.988 2.259
Li 5.674 6.142 2.259
Sn 0.000 0.000 0.000
Sn 7.565 3.783 1.506
```

Calculated values
symmetry: I-42d
formation energy (no corrections): -2.0 eV/f.u.

=====

Below is a geometry-optimized Na2Tl15In2 structure, with properties calculated at the PBE level.

The structure in extended XYZ format:
```
19
Lattice="8.344 -0.342 2.569 1.798 8.155 2.569 -0.444 -0.342 8.719" Properties=species:S:1:pos:R:3 pbc="T T T"
Tl 1.137 5.650 4.382
Tl 0.899 4.077 1.284
Tl 6.081 4.685 4.484
Tl 3.728 5.650 2.569
Tl 2.130 4.685 7.249
Tl 2.147 -0.342 6.905
Tl 4.624 6.606 6.607
Tl 3.616 2.786 9.372
Tl 4.172 -0.171 1.284
Tl -0.222 -0.171 4.359
Tl 0.217 2.163 6.905
Tl 5.073 0.865 7.249
Tl 5.753 -0.342 4.382
Tl 6.414 2.163 2.569
Tl 7.567 2.786 6.607
Na 8.709 6.709 12.444
Na 0.988 0.761 1.412
In 2.904 2.237 4.149
In 6.793 5.233 9.707
```

Calculated values
energy relative to the elements: 1.79 kcal/mol of atoms
symmetry: R-3m

=====

Below is a geometry-optimized Ca2NdCd structure, with properties calculated at the PBE level.

The structure in extended XYZ format:
```
4
Lattice="-2.652 2.596 -0.784 -3.083 0.284 2.191 3.343 8.276 6.914" Properties=species:S:1:pos:R:3 pbc="T T T"
Ca -0.747 2.581 1.897
Ca 2.182 6.660 5.490
Cd -3.816 1.930 0.947
Nd -1.206 5.564 4.148
```

Calculated values
energy relative to the elements: -1.13 kcal/mol of atoms
symmetry: R3m

=====

no.,V (Å³/f.u.)
1,144.0
2,49.1
3,71.5
4,222.7
5,79.4
6,86.2
7,614.0
8,138.0